No. 1
{
  "formula": "TlZn4Ge",
  "functional": "GGA-PBE",
  "state": "relaxed",
  "cell": [[0.0000, 3.8367, 3.8367], [3.8367, 0.0000, 3.8367], [3.8367, 3.8367, 0.0000]],
  "species": ["Tl", "Zn", "Zn", "Zn", "Zn", "Ge"],
  "fractional_positions": [[0.0000, 0.0000, 0.0000], [0.3759, 0.3759, 0.3759], [0.3759, 0.3759, 0.8722], [0.3759, 0.8722, 0.3759], [0.8722, 0.3759, 0.3759], [0.7500, 0.7500, 0.7500]],
  "sg": "F-43m, No. 216",
  "formation_energy_mev_per_atom": 181
}


No. 2
{
  "formula": "GdBe4Ru",
  "functional": "GGA-PBE",
  "state": "relaxed",
  "cell": [[0.0000, 3.3236, 3.3236], [3.3236, 0.0000, 3.3236], [3.3236, 3.3236, 0.0000]],
  "species": ["Gd", "Be", "Be", "Be", "Be", "Ru"],
  "fractional_positions": [[0.0000, 0.0000, 0.0000], [0.3784, 0.3784, 0.3784], [0.3784, 0.3784, 0.8647], [0.3784, 0.8647, 0.3784], [0.8647, 0.3784, 0.3784], [0.7500, 0.7500, 0.7500]],
  "sg": "F-43m, No. 216",
  "formation_energy_mev_per_atom": -126
}


Question: Number 2 is which compound?
Answer: GdBe4Ru